Entry 1:
Zn2In5Ag12 (PBE-GGA, relaxed); E = -48.03 eV for the cell shown; density = 8.14 Mg/m³
1.0
5.5288 0.0000 0.0000
-2.7644 8.5320 0.2070
0.0000 -2.7380 8.5847
Ag In Zn
12 5 2
Direct
0.4719 0.9438 0.6505 Ag
0.0963 0.1926 0.2630 Ag
0.1066 0.7115 0.3887 Ag
0.4614 0.4344 0.1285 Ag
0.5386 0.5656 0.8715 Ag
0.5281 0.0562 0.3495 Ag
0.8934 0.2885 0.6113 Ag
0.9037 0.8074 0.7370 Ag
0.0270 0.5656 0.8715 Ag
0.3951 0.2885 0.6113 Ag
0.9730 0.4344 0.1285 Ag
0.6049 0.7115 0.3887 Ag
0.3826 0.7653 0.1220 In
0.6174 0.2347 0.8780 In
0.2963 0.5926 0.6097 In
0.0000 0.0000 0.5000 In
0.7037 0.4074 0.3903 In
0.2423 0.0000 0.0000 Zn
0.7577 0.0000 0.0000 Zn

Entry 2:
LaYH2 (PBE-GGA, relaxed); energy relative to the lowest polymorph listed for this composition = 0.0 meV/atom; density = 5.78 Mg/m³
1.0
-1.2395 -1.0752 3.1964
2.2999 -0.9533 2.5906
0.4918 4.9051 3.8600
La H Y
1 2 1
Direct
0.5000 0.5000 0.5000 La
0.2587 0.2587 0.2238 H
0.7413 0.7413 0.7762 H
0.0000 0.0000 0.0000 Y